(1)
Computed, not measured: an optimized crystal structure of KScTe2N at the PBE level of DFT.

abc: 6.0641 6.0641 3.9726
angles: 90.00 90.00 90.00
Last column: nearest neighbours and their distance in Å.
Element x y z (fractional)
K 0.0000 0.0000 0.0000  8 Te 3.62, 2 K 3.97
Sc 0.5000 0.5000 0.5000  2 N 1.99
Te 0.0000 0.5000 0.5000  2 Sc 3.03
Te 0.5000 0.0000 0.5000  2 Sc 3.03
N 0.5000 0.5000 0.0000  2 Sc 1.99

Calculated values
The polymorph energy (0 for the lowest one) is 0.000 eV per formula unit. As for the space group: P4/mmm. The uncorrected energy comes out at -4.70 eV per atom. As for the density of states at the Fermi level: 4.75 states/eV/f.u.

(2)
Computed, not measured: an optimized crystal structure of Tb6YTh12 at the PBE level of DFT.

abc: 8.7380 8.7380 8.7380
angles: 99.67 99.67 99.67
Last column: nearest neighbours and their distance in Å.
Element x y z (fractional)
Tb 0.1604 0.5987 0.5987  1 Tb 3.09, 1 Y 3.43, 2 Th 3.44
Tb 0.4013 0.4013 0.8396  1 Tb 3.09, 1 Y 3.43, 2 Th 3.44
Tb 0.4013 0.8396 0.4013  1 Tb 3.09, 1 Y 3.43, 2 Th 3.44
Tb 0.5987 0.1604 0.5987  1 Tb 3.09, 1 Y 3.43, 2 Th 3.44
Tb 0.5987 0.5987 0.1604  1 Tb 3.09, 1 Y 3.43, 2 Th 3.44
Tb 0.8396 0.4013 0.4013  1 Tb 3.09, 1 Y 3.43, 2 Th 3.44
Y 0.5000 0.5000 0.5000  6 Tb 3.43, 6 Th 3.82
Th 0.0000 0.2523 0.7477  6 Th 3.37-3.50, 4 Tb 3.44-3.65
Th 0.0000 0.7477 0.2523  6 Th 3.37-3.50, 4 Tb 3.44-3.65
Th 0.1501 0.1501 0.4171  6 Th 3.41-3.57, 2 Tb 3.76, 1 Y 3.82
Th 0.1501 0.4171 0.1501  6 Th 3.41-3.57, 2 Tb 3.76, 1 Y 3.82
Th 0.2523 0.0000 0.7477  6 Th 3.37-3.50, 4 Tb 3.44-3.65
Th 0.2523 0.7477 0.0000  6 Th 3.37-3.50, 4 Tb 3.44-3.65
Th 0.4171 0.1501 0.1501  6 Th 3.41-3.57, 2 Tb 3.76, 1 Y 3.82
Th 0.5829 0.8499 0.8499  6 Th 3.41-3.57, 2 Tb 3.76, 1 Y 3.82
Th 0.7477 0.0000 0.2523  6 Th 3.37-3.50, 4 Tb 3.44-3.65
Th 0.7477 0.2523 0.0000  6 Th 3.37-3.50, 4 Tb 3.44-3.65
Th 0.8499 0.5829 0.8499  6 Th 3.41-3.57, 2 Tb 3.76, 1 Y 3.82
Th 0.8499 0.8499 0.5829  6 Th 3.41-3.57, 2 Tb 3.76, 1 Y 3.82

Calculated values
The calculation puts the formation energy at 5.7 kcal/mol of atoms. As for the space group: R-3m. The uncorrected energy comes out at -6.24 eV per atom. As for the density of states at the Fermi level: 29.38 states/eV/f.u.

(3)
Computed, not measured: an optimized crystal structure of LaPRu at the PBE level of DFT.

abc: 4.0880 4.0880 4.3325
angles: 90.00 90.00 120.00
Last column: nearest neighbours and their distance in Å.
Element x y z (fractional)
La 0.0000 0.0000 0.0000  6 Ru 3.20, 6 P 3.20
P 0.3333 0.6667 0.5000  3 Ru 2.36
Ru 0.6667 0.3333 0.5000  3 P 2.36

Calculated values
The calculation puts the formation energy at -20.8 kcal/mol of atoms. As for the space group: P-6m2. The uncorrected energy comes out at -7.44 eV per atom. As for the density of states at the Fermi level: 3.89 states/eV/f.u.

(4)
Computed, not measured: an optimized crystal structure of Pr3Tl2Hg2 at the PBE level of DFT.

abc: 11.8930 11.8930 3.5078
angles: 90.00 90.00 156.32
Last column: nearest neighbours and their distance in Å.
Element x y z (fractional)
Pr 0.0000 0.0000 0.0000  8 Tl 3.49, 4 Pr 3.51-3.71
Pr 0.1592 0.8408 0.0000  6 Hg 3.27-3.43, 2 Pr 3.51, 4 Tl 3.57
Pr 0.8408 0.1592 0.0000  6 Hg 3.27-3.43, 2 Pr 3.51, 4 Tl 3.57
Tl 0.4235 0.5765 0.5000  1 Hg 3.21, 8 Pr 3.49-3.57, 3 Tl 3.51-3.56
Tl 0.5765 0.4235 0.5000  1 Hg 3.21, 8 Pr 3.49-3.57, 3 Tl 3.51-3.56
Hg 0.2856 0.7144 0.5000  2 Hg 2.95, 1 Tl 3.21, 4 Pr 3.27
Hg 0.7144 0.2856 0.5000  2 Hg 2.95, 1 Tl 3.21, 4 Pr 3.27

Calculated values
The calculation puts the formation energy at -9.2 kcal/mol of atoms. As for the space group: Cmmm. The uncorrected energy comes out at -3.21 eV per atom. As for the density of states at the Fermi level: 5.81 states/eV/f.u.

(5)
Computed, not measured: an optimized crystal structure of BeNbSbPIr at the PBE level of DFT.

abc: 5.8016 5.8016 5.8016
angles: 42.77 42.77 42.77
Last column: nearest neighbours and their distance in Å.
Element x y z (fractional)
Be 0.0000 0.0000 0.0000  3 Ir 2.46
Nb 0.4445 0.4445 0.4445  3 P 2.46
Sb 0.2413 0.2413 0.2413  3 Ir 2.72, 3 Be 2.84, 3 P 3.02
P 0.7952 0.7952 0.7952  1 Ir 2.28, 3 Nb 2.46
Ir 0.6510 0.6510 0.6510  1 P 2.28, 3 Be 2.46

Calculated values
The polymorph energy (0 for the lowest one) is 0.578 eV per formula unit. As for the space group: R3m. The uncorrected energy comes out at -6.72 eV per atom. As for the density of states at the Fermi level: 1.04 states/eV/f.u.

(6)
Computed, not measured: an optimized crystal structure of TlCu3S2 at the PBE level of DFT.

abc: 7.5293 7.5293 8.4786
angles: 110.81 110.81 29.69
Last column: nearest neighbours and their distance in Å.
Element x y z (fractional)
Tl 0.1399 0.1399 0.0547  7 S 3.28-3.55, 3 Cu 3.47-3.56
Tl 0.8601 0.8601 0.9453  7 S 3.28-3.55, 3 Cu 3.47-3.56
Cu 0.0596 0.0596 0.4039  3 S 2.34-2.35
Cu 0.3128 0.3128 0.5841  2 S 2.23-2.32
Cu 0.4104 0.4104 0.3624  3 S 2.29-2.34
Cu 0.5896 0.5896 0.6376  3 S 2.29-2.34
Cu 0.6872 0.6872 0.4159  2 S 2.23-2.32
Cu 0.9404 0.9404 0.5961  3 S 2.34-2.35
S 0.1861 0.1861 0.6719  4 Cu 2.23-2.34
S 0.4768 0.4768 0.7671  4 Cu 2.29-2.35
S 0.5232 0.5232 0.2329  4 Cu 2.29-2.35
S 0.8139 0.8139 0.3281  4 Cu 2.23-2.34

Calculated values
As for the space group: C2/m. The uncorrected energy comes out at -4.03 eV per atom.